1.
## LiYCoBi (PBE-GGA)

Data for a relaxed structure of LiYCoBi.

Results
E above lowest polymorph in eV/atom: 0.3325
Space group: No. 216
Size of the total moment in μB per atom: 0.000
E_tot in eV per atom: -4.88

abc: 4.8053 4.8053 4.8053
angles: 60.00 60.00 60.00
Element x y z (fractional)
1 Li 0.0000 0.0000 0.0000
2 Y 0.2500 0.2500 0.2500
3 Co 0.7500 0.7500 0.7500
4 Bi 0.5000 0.5000 0.5000


2.
## LiYCoBi (PBE-GGA)

Data for a relaxed structure of LiYCoBi.

Results
E above lowest polymorph in eV/atom: 0.2488
Space group: No. 216
Size of the total moment in μB per atom: 0.362
E_tot in eV per atom: -4.96

abc: 4.9389 4.9389 4.9389
angles: 60.00 60.00 60.00
Element x y z (fractional)
1 Li 0.0000 0.0000 0.0000
2 Y 0.5000 0.5000 0.5000
3 Co 0.7500 0.7500 0.7500
4 Bi 0.2500 0.2500 0.2500


3.
## LuCoBi2 (PBE-GGA)

Data for a relaxed structure of LuCoBi2.

Results
Space group: No. 216
Size of the total moment in μB per atom: 0.294
E_tot in eV per atom: -4.69

abc: 5.1712 5.1712 5.1712
angles: 60.00 60.00 60.00
Element x y z (fractional)
1 Lu 0.0000 0.0000 0.0000
2 Co 0.7500 0.7500 0.7500
3 Bi 0.2500 0.2500 0.2500
4 Bi 0.5000 0.5000 0.5000


4.
## LuMgCoBi (PBE-GGA)

Data for a relaxed structure of LuMgCoBi.

Results
E above lowest polymorph in eV/atom: 0.0898
Space group: No. 216
Size of the total moment in μB per atom: 0.223
E_tot in eV per atom: -4.17

abc: 4.8849 4.8849 4.8849
angles: 60.00 60.00 60.00
Element x y z (fractional)
1 Lu 0.0000 0.0000 0.0000
2 Mg 0.7500 0.7500 0.7500
3 Co 0.5000 0.5000 0.5000
4 Bi 0.2500 0.2500 0.2500


5.
## LuMgCoBi (PBE-GGA)

Data for a relaxed structure of LuMgCoBi.

Results
E above lowest polymorph in eV/atom: 0.0000
Space group: No. 216
Size of the total moment in μB per atom: 0.072
E_tot in eV per atom: -4.26

abc: 4.8528 4.8528 4.8528
angles: 60.00 60.00 60.00
Element x y z (fractional)
1 Lu 0.0000 0.0000 0.0000
2 Mg 0.2500 0.2500 0.2500
3 Co 0.7500 0.7500 0.7500
4 Bi 0.5000 0.5000 0.5000


6.
## LuCoBiMo (PBE-GGA)

Data for a relaxed structure of LuCoBiMo.

Results
E above lowest polymorph in eV/atom: 0.0000
Space group: No. 216
Size of the total moment in μB per atom: 0.222
E_tot in eV per atom: -6.28

abc: 4.7159 4.7159 4.7159
angles: 60.00 60.00 60.00
Element x y z (fractional)
1 Lu 0.0000 0.0000 0.0000
2 Co 0.7500 0.7500 0.7500
3 Bi 0.5000 0.5000 0.5000
4 Mo 0.2500 0.2500 0.2500